Material: CaPmYIn
Method: DFT, PBE-GGA
State: relaxed

mass density: 5.34 g cm⁻³
total DFT energy (no corrections): -4.166 eV per atom
DOS at the Fermi energy: 3.3 states/eV/cell
formation energy: -178 meV/atom

Cell lengths 5.551, 5.551, 5.551 Å; angles 60.00, 60.00, 60.00 degrees
Atoms (fractional coordinates):
Pm 0.000 0.000 0.000
In 0.250 0.250 0.250
Ca 0.750 0.750 0.750
Y 0.500 0.500 0.500